1:
This record from Alexandria describes an optimized crystal structure of Ti2TlV2. The functional is PBE.

Results
**Calculated density**: 7.84 Mg/m³

Lattice parameters (Å, degrees): 7.055 7.055 3.423 90.00 90.00 90.00
Space group P4/mbm (No. 127)
Symmetry-distinct sites (fractional):
Ti  0.174  0.326  0.000 [4 per cell]
Tl  0.000  0.000  0.500 [2 per cell]
V  0.116  0.616  0.500 [4 per cell]

2:
This record from Alexandria describes an optimized crystal structure of Ti2TlV2. The functional is PBE.

Results
**Calculated density**: 7.80 Mg/m³

Lattice parameters (Å, degrees): 7.154 7.154 3.342 90.00 90.00 90.00
Space group P4/mbm (No. 127)
Symmetry-distinct sites (fractional):
Ti  0.129  0.371  0.000 [4 per cell]
Tl  0.000  0.000  0.000 [2 per cell]
V  0.166  0.666  0.500 [4 per cell]

3:
This record from Alexandria describes an optimized crystal structure of Ti2TlV2. The functional is PBE.

Results
**Calculated density**: 7.19 Mg/m³

Lattice parameters (Å, degrees): 3.325 3.325 16.795 90.00 90.00 90.00
Space group I4/mmm (No. 139)
Symmetry-distinct sites (fractional):
Ti  0.000  0.000  0.120 [4 per cell]
Tl  0.000  0.000  0.500 [2 per cell]
V  0.000  0.500  0.250 [4 per cell]

What should be chosen as the most stable of them? Choose 1.

1:
This record from Alexandria describes an optimized crystal structure of Ti2TlV. The functional is PBE.

Results
**Calculated density**: 8.34 Mg/m³

Lattice parameters (Å, degrees): 4.249 4.249 3.874 90.00 90.00 90.00
Space group P4/mmm (No. 123)
Symmetry-distinct sites (fractional):
Ti  0.000  0.500  0.000 [2 per cell]
Tl  0.000  0.000  0.500 [1 per cell]
V  0.500  0.500  0.500 [1 per cell]

2:
This record from Alexandria describes an optimized crystal structure of Ti2TlV. The functional is PBE.

Results
**Calculated density**: 7.75 Mg/m³

Lattice parameters (Å, degrees): 3.909 3.909 19.681 90.00 90.00 90.00
Space group I-42d (No. 122)
Symmetry-distinct sites (fractional):
Ti  0.236  0.250  0.125 [8 per cell]
Tl  0.000  0.000  0.500 [4 per cell]
V  0.000  0.000  0.000 [4 per cell]

3:
This record from Alexandria describes an optimized crystal structure of Ti2TlV. The functional is PBE.

Results
**Calculated density**: 8.31 Mg/m³

Lattice parameters (Å, degrees): 3.267 3.267 6.572 90.00 90.00 90.00
Space group P4/mmm (No. 123)
Symmetry-distinct sites (fractional):
Ti  0.000  0.000  0.213 [2 per cell]
Tl  0.500  0.500  0.500 [1 per cell]
V  0.500  0.500  0.000 [1 per cell]

What should be chosen as the most stable of them? Choose 3.

1:
This record from Alexandria describes an optimized crystal structure of TiTl2W. The functional is PBE.

Results
**Calculated density**: 13.69 Mg/m³

Lattice parameters (Å, degrees): 6.773 6.773 6.773 90.00 90.00 90.00
Space group Fm-3m (No. 225)
Symmetry-distinct sites (fractional):
Ti  0.000  0.000  0.000 [4 per cell]
Tl  0.250  0.250  0.250 [8 per cell]
W  0.000  0.000  0.500 [4 per cell]

2:
This record from Alexandria describes an optimized crystal structure of TiTl2W. The functional is PBE.

Results
**Calculated density**: 12.39 Mg/m³

Lattice parameters (Å, degrees): 7.651 7.651 5.864 90.00 90.00 90.00
Space group I-42d (No. 122)
Symmetry-distinct sites (fractional):
Ti  0.000  0.000  0.000 [4 per cell]
Tl  0.250  0.250  0.125 [8 per cell]
W  0.000  0.000  0.500 [4 per cell]

What should be chosen as the most stable of them? Choose 1.

1:
This record from Alexandria describes an optimized crystal structure of Ti2TlW. The functional is PBE.

Results
**Calculated density**: 10.32 Mg/m³

Lattice parameters (Å, degrees): 4.002 4.002 19.451 90.00 90.00 90.00
Space group I-42d (No. 122)
Symmetry-distinct sites (fractional):
Ti  0.233  0.250  0.125 [8 per cell]
Tl  0.000  0.000  0.500 [4 per cell]
W  0.000  0.000  0.000 [4 per cell]

2:
This record from Alexandria describes an optimized crystal structure of Ti2TlW. The functional is PBE.

Results
**Calculated density**: 11.44 Mg/m³

Lattice parameters (Å, degrees): 6.549 6.549 6.549 90.00 90.00 90.00
Space group Fm-3m (No. 225)
Symmetry-distinct sites (fractional):
Ti  0.250  0.250  0.250 [8 per cell]
Tl  0.000  0.000  0.000 [4 per cell]
W  0.000  0.000  0.500 [4 per cell]

What should be chosen as the most stable of them? Choose 2.

1:
This record from Alexandria describes an optimized crystal structure of Ti2TlW. The functional is PBE.

Results
**Calculated density**: 11.20 Mg/m³

Lattice parameters (Å, degrees): 3.308 3.308 6.559 90.00 90.00 90.00
Space group P4/mmm (No. 123)
Symmetry-distinct sites (fractional):
Ti  0.000  0.000  0.217 [2 per cell]
Tl  0.500  0.500  0.500 [1 per cell]
W  0.500  0.500  0.000 [1 per cell]

2:
This record from Alexandria describes an optimized crystal structure of Ti2TlW. The functional is PBE.

Results
**Calculated density**: 11.48 Mg/m³

Lattice parameters (Å, degrees): 4.491 4.491 3.471 90.00 90.00 90.00
Space group P4/mmm (No. 123)
Symmetry-distinct sites (fractional):
Ti  0.000  0.500  0.000 [2 per cell]
Tl  0.000  0.000  0.500 [1 per cell]
W  0.500  0.500  0.500 [1 per cell]

What should be chosen as the most stable of them? Choose 1.

1:
This record from Alexandria describes an optimized crystal structure of Y2TiTl. The functional is PBE.

Results
**Calculated density**: 6.83 Mg/m³

Lattice parameters (Å, degrees): 3.556 3.556 8.267 90.00 90.00 90.00
Space group P4/mmm (No. 123)
Symmetry-distinct sites (fractional):
Y  0.000  0.000  0.243 [2 per cell]
Ti  0.500  0.500  0.000 [1 per cell]
Tl  0.500  0.500  0.500 [1 per cell]

2:
This record from Alexandria describes an optimized crystal structure of Y2TiTl. The functional is PBE.

Results
**Calculated density**: 6.84 Mg/m³

Lattice parameters (Å, degrees): 7.476 7.476 7.476 90.00 90.00 90.00
Space group Fm-3m (No. 225)
Symmetry-distinct sites (fractional):
Y  0.250  0.250  0.250 [8 per cell]
Ti  0.000  0.000  0.000 [4 per cell]
Tl  0.000  0.000  0.500 [4 per cell]

3:
This record from Alexandria describes an optimized crystal structure of Y2TiTl. The functional is PBE.

Results
**Calculated density**: 6.46 Mg/m³

Lattice parameters (Å, degrees): 3.3696 3.3696 33.7418 90.00 90.00 120.00
Space group R-3m (No. 166, hexagonal axes)
Symmetry-distinct sites (fractional):
Y  0.0000  0.0000  0.0874 [6 per cell]
Ti  0.0000  0.0000  0.0000 [3 per cell]
Tl  0.0000  0.0000  0.5000 [3 per cell]

What should be chosen as the most stable of them? Choose 1.

1:
This record from Alexandria describes an optimized crystal structure of Y2TiTl. The functional is PBE.

Results
**Calculated density**: 6.89 Mg/m³

Lattice parameters (Å, degrees): 4.891 4.891 4.330 90.00 90.00 90.00
Space group P4/mmm (No. 123)
Symmetry-distinct sites (fractional):
Y  0.000  0.500  0.000 [2 per cell]
Ti  0.000  0.000  0.500 [1 per cell]
Tl  0.500  0.500  0.500 [1 per cell]

2:
This record from Alexandria describes an optimized crystal structure of Y2TiTl. The functional is PBE.

Results
**Calculated density**: 6.52 Mg/m³

Lattice parameters (Å, degrees): 8.337 8.337 6.307 90.00 90.00 90.00
Space group I-42d (No. 122)
Symmetry-distinct sites (fractional):
Y  0.249  0.250  0.125 [8 per cell]
Ti  0.000  0.000  0.500 [4 per cell]
Tl  0.000  0.000  0.000 [4 per cell]

What should be chosen as the most stable of them? Choose 1.

1:
This record from Alexandria describes an optimized crystal structure of YTi2Tl2. The functional is PBE.

Results
**Calculated density**: 8.65 Mg/m³

Lattice parameters (Å, degrees): 8.138 8.138 3.438 90.00 90.00 90.00
Space group P4/mbm (No. 127)
Symmetry-distinct sites (fractional):
Y  0.000  0.000  0.000 [2 per cell]
Ti  0.168  0.332  0.500 [4 per cell]
Tl  0.134  0.634  0.000 [4 per cell]

2:
This record from Alexandria describes an optimized crystal structure of YTi2Tl2. The functional is PBE.

Results
**Calculated density**: 8.73 Mg/m³

Lattice parameters (Å, degrees): 8.461 8.461 3.155 90.00 90.00 90.00
Space group P4/mbm (No. 127)
Symmetry-distinct sites (fractional):
Y  0.000  0.000  0.000 [2 per cell]
Ti  0.111  0.389  0.000 [4 per cell]
Tl  0.183  0.683  0.500 [4 per cell]

3:
This record from Alexandria describes an optimized crystal structure of YTi2Tl2. The functional is PBE.

Results
**Calculated density**: 8.35 Mg/m³

Lattice parameters (Å, degrees): 4.174 4.174 13.541 90.00 90.00 90.00
Space group I4/mmm (No. 139)
Symmetry-distinct sites (fractional):
Y  0.000  0.000  0.000 [2 per cell]
Ti  0.000  0.500  0.250 [4 per cell]
Tl  0.000  0.000  0.394 [4 per cell]

What should be chosen as the most stable of them? Choose 3.

1:
This record from Alexandria describes an optimized crystal structure of Ti3TlZn. The functional is PBE.

Results
**Calculated density**: 5.22 Mg/m³

Lattice parameters (Å, degrees): 5.084 5.084 5.084 90.00 90.00 90.00
Space group Pm-3m (No. 221)
Symmetry-distinct sites (fractional):
Ti  0.000  0.000  0.500 [3 per cell]
Tl  0.000  0.000  0.000 [1 per cell]
Zn  0.500  0.500  0.500 [1 per cell]

2:
This record from Alexandria describes an optimized crystal structure of Ti3TlZn. The functional is PBE.

Results
**Calculated density**: 7.33 Mg/m³

Lattice parameters (Å, degrees): 6.4724 6.4724 5.1607 90.00 90.00 120.00
Space group P6_3/mmc (No. 194)
Symmetry-distinct sites (fractional):
Ti  0.1938  0.3875  0.2500 [6 per cell]
Tl  0.3333  0.6667  0.7500 [2 per cell]
Zn  0.0000  0.0000  0.0000 [2 per cell]

What should be chosen as the most stable of them? Choose 2.

1:
This record from Alexandria describes an optimized crystal structure of ZrTi2Tl. The functional is PBE.

Results
**Calculated density**: 8.13 Mg/m³

Lattice parameters (Å, degrees): 3.467 3.467 6.652 90.00 90.00 90.00
Space group P4/mmm (No. 123)
Symmetry-distinct sites (fractional):
Zr  0.000  0.000  0.000 [1 per cell]
Ti  0.500  0.500  0.242 [2 per cell]
Tl  0.000  0.000  0.500 [1 per cell]

2:
This record from Alexandria describes an optimized crystal structure of ZrTi2Tl. The functional is PBE.

Results
**Calculated density**: 8.34 Mg/m³

Lattice parameters (Å, degrees): 6.780 6.780 6.780 90.00 90.00 90.00
Space group Fm-3m (No. 225)
Symmetry-distinct sites (fractional):
Zr  0.000  0.000  0.000 [4 per cell]
Ti  0.250  0.250  0.250 [8 per cell]
Tl  0.000  0.000  0.500 [4 per cell]

3:
This record from Alexandria describes an optimized crystal structure of ZrTi2Tl. The functional is PBE.

Results
**Calculated density**: 7.80 Mg/m³

Lattice parameters (Å, degrees): 3.1505 3.1505 29.0694 90.00 90.00 120.00
Space group R3m (No. 160, hexagonal axes)
Symmetry-distinct sites (fractional):
Zr  0.0000  0.0000  0.0000 [3 per cell]
Ti  0.0000  0.0000  0.4155 [3 per cell]
Ti  0.0000  0.0000  0.5850 [3 per cell]
Tl  0.0000  0.0000  0.1670 [3 per cell]

What should be chosen as the most stable of them? Choose 1.

1:
This record from Alexandria describes an optimized crystal structure of ZrTiTl2. The functional is PBE.

Results
**Calculated density**: 10.57 Mg/m³

Lattice parameters (Å, degrees): 4.457 4.457 4.332 90.00 90.00 90.00
Space group P4/mmm (No. 123)
Symmetry-distinct sites (fractional):
Zr  0.000  0.000  0.000 [1 per cell]
Ti  0.500  0.500  0.000 [1 per cell]
Tl  0.000  0.500  0.500 [2 per cell]

2:
This record from Alexandria describes an optimized crystal structure of ZrTiTl2. The functional is PBE.

Results
**Calculated density**: 9.03 Mg/m³

Lattice parameters (Å, degrees): 4.3232 4.3232 18.6732 90.00 90.00 120.00
Space group R3m (No. 160, hexagonal axes)
Symmetry-distinct sites (fractional):
Zr  0.0000  0.0000  0.0000 [3 per cell]
Ti  0.0000  0.0000  0.1779 [3 per cell]
Tl  0.0000  0.0000  0.4224 [3 per cell]
Tl  0.0000  0.0000  0.5841 [3 per cell]

What should be chosen as the most stable of them? Choose 1.